1.
First-principles (PBE with a Hubbard U) data for a relaxed structure of Cs4BaV3F12, as listed in Alexandria via LeMat-Bulk.

Properties
Total energy   -5.37 eV/atom
Symmetry   Im-3m (229)
Volume   18.86 Å³/atom

Unit cell a=7.8833 b=7.8833 c=7.8833 alpha=109.47 beta=109.47 gamma=109.47
Element x y z (fractional)
Cs  0.0000  0.0000  0.5000
Cs  0.0000  0.5000  0.0000
Cs  0.5000  0.0000  0.0000
Cs  0.5000  0.5000  0.5000
Ba  0.0000  0.0000  0.0000
V  0.0000  0.5000  0.5000
V  0.5000  0.0000  0.5000
V  0.5000  0.5000  0.0000
F  0.0000  0.2746  0.2746
F  0.0000  0.7254  0.7254
F  0.2500  0.5000  0.7500
F  0.2500  0.7500  0.5000
F  0.2746  0.0000  0.2746
F  0.2746  0.2746  0.0000
F  0.5000  0.2500  0.7500
F  0.5000  0.7500  0.2500
F  0.7254  0.0000  0.7254
F  0.7254  0.7254  0.0000
F  0.7500  0.2500  0.5000
F  0.7500  0.5000  0.2500

2.
First-principles (PBE with a Hubbard U) data for a relaxed structure of CsBa2VF8, as listed in Alexandria via LeMat-Bulk.

Properties
Total energy   -5.57 eV/atom
Symmetry   P2/m (10)
Volume   19.29 Å³/atom

Unit cell a=4.7795 b=8.5019 c=5.7768 alpha=90.00 beta=99.49 gamma=90.00
Element x y z (fractional)
Cs  0.0000  0.0000  0.0000
Ba  0.5000  0.2608  0.5000
Ba  0.5000  0.7392  0.5000
V  0.0000  0.5000  0.0000
F  0.0719  0.3281  0.7755
F  0.0719  0.6719  0.7755
F  0.3784  0.5000  0.2001
F  0.4271  0.0000  0.7144
F  0.5729  0.0000  0.2856
F  0.6216  0.5000  0.7999
F  0.9281  0.3281  0.2245
F  0.9281  0.6719  0.2245